(1)
VASP calculation (PBE) on crystalline SeI2Cl at its relaxed geometry.

Unit cell a=6.3191 b=8.0243 c=8.7219 alpha=109.10 beta=108.09 gamma=103.22
Atoms (fractional coordinates):
I (0.4256, 0.1884, 0.5599)
I (0.0672, 0.3724, 0.0597)
I (0.0438, 0.8632, 0.5237)
I (0.4902, 0.7867, 0.9609)
Se (0.0989, 0.8767, 0.8510)
Se (0.3406, 0.1834, 0.0713)
Cl (0.7171, 0.4390, 0.5384)
Cl (0.8732, 0.7115, 0.0862)

Summary:
The calculation puts the formation energy (no corrections) at -1.59 kcal/mol of atoms. The energy above the most stable polymorph in this dataset is 32 meV/atom. The calculation puts the total energy at -2.177 eV per atom. The value obtained for the spin magnetization is 0.00 μB/cell.

---

(2)
VASP calculation (PBE) on crystalline Y2MgAu4 at its relaxed geometry.

Unit cell a=4.6813 b=4.6813 c=9.0630 alpha=75.03 beta=75.03 gamma=60.00
Atoms (fractional coordinates):
Y (0.7524, 0.7524, 0.7427)
Y (0.2476, 0.2476, 0.2573)
Mg (0.0000, 0.0000, 0.0000)
Au (0.8670, 0.8670, 0.3990)
Au (0.1330, 0.1330, 0.6010)
Au (0.6372, 0.6372, 0.0884)
Au (0.3628, 0.3628, 0.9116)

Summary:
The calculation puts the formation energy at -64 kJ/mol of atoms. The calculation puts the total energy at -4.607 eV per atom. The value obtained for the spin magnetization is 0.00 μB/cell.

---

(3)
VASP calculation (PBE) on crystalline ZnTeRh at its relaxed geometry.

Unit cell a=3.3819 b=3.3819 c=6.0048 alpha=90.00 beta=90.00 gamma=120.00
Atoms (fractional coordinates):
Rh (0.0000, 0.0000, 0.0013)
Te (0.6667, 0.3333, 0.2927)
Zn (0.3333, 0.6667, 0.7052)

Summary:
The calculation puts the formation energy (no corrections) at -1.99 kcal/mol of atoms. The energy above the most stable polymorph in this dataset is 205 meV/atom. The calculation puts the total energy at -4.009 eV per atom. The value obtained for the spin magnetization is 0.00 μB/cell.

---

(4)
VASP calculation (PBE) on crystalline Be2RuCl at its relaxed geometry.

Unit cell a=2.8722 b=2.8722 c=6.9621 alpha=90.00 beta=90.00 gamma=115.03
Atoms (fractional coordinates):
Ru (0.5000, 0.5000, 0.7500)
Be (0.0000, 0.0000, 0.9814)
Be (0.0000, 0.0000, 0.5186)
Cl (0.5000, 0.5000, 0.2500)

Summary:
The calculation puts the formation energy (no corrections) at 3.17 kcal/mol of atoms. The energy above the most stable polymorph in this dataset is 189 meV/atom. The calculation puts the total energy at -4.506 eV per atom. The value obtained for the spin magnetization is 0.00 μB/cell.

---

(5)
VASP calculation (PBE) on crystalline RbNaAc at its relaxed geometry.

Unit cell a=4.2122 b=4.2122 c=18.0791 alpha=90.00 beta=90.00 gamma=90.00
Atoms (fractional coordinates):
Rb (0.0000, 0.5000, 0.6154)
Rb (0.5000, 0.0000, 0.3846)
Na (0.5000, 0.0000, 0.7878)
Na (0.0000, 0.5000, 0.2122)
Ac (0.0000, 0.5000, 0.9286)
Ac (0.5000, 0.0000, 0.0714)

Summary:
The calculation puts the formation energy at 10 kJ/mol of atoms. The energy above the most stable polymorph in this dataset is 0 meV/atom. The calculation puts the total energy at -2.030 eV per atom. The value obtained for the spin magnetization is 0.00 μB/cell.

---

(6)
VASP calculation (PBE) on crystalline Li5Ca3F12 at its relaxed geometry.

Unit cell a=10.7769 b=10.7769 c=10.7769 alpha=109.47 beta=109.47 gamma=109.47
Site moments in Bohr magnetons follow the coordinates.
Atoms (fractional coordinates):
Ca (0.7500, 0.3750, 0.1250)  0.00
Ca (0.8750, 0.7500, 0.1250)  0.00
Ca (0.3750, 0.7500, 0.6250)  0.00
Ca (0.2500, 0.1250, 0.3750)  0.00
Ca (0.8750, 0.1250, 0.2500)  0.00
Ca (0.3750, 0.6250, 0.2500)  0.00
Ca (0.6250, 0.3750, 0.7500)  0.00
Ca (0.1250, 0.8750, 0.7500)  0.00
Ca (0.7500, 0.8750, 0.6250)  0.00
Ca (0.6250, 0.2500, 0.3750)  0.00
Ca (0.1250, 0.2500, 0.8750)  0.00
Ca (0.2500, 0.6250, 0.8750)  0.00
Li (0.1250, 0.3750, 0.2500)  0.00
Li (0.0000, 0.5000, 0.0000)  0.00
Li (0.0000, 0.0000, 0.0000)  0.00
Li (0.3750, 0.2500, 0.1250)  0.00
Li (0.5000, 0.0000, 0.5000)  0.00
Li (0.5000, 0.5000, 0.0000)  0.00
Li (0.1250, 0.7500, 0.3750)  0.00
Li (0.7500, 0.1250, 0.8750)  0.00
Li (0.7500, 0.6250, 0.3750)  0.00
Li (0.3750, 0.1250, 0.7500)  0.00
Li (0.6250, 0.8750, 0.2500)  0.00
Li (0.5000, 0.5000, 0.5000)  0.00
Li (0.5000, 0.0000, 0.0000)  0.00
Li (0.0000, 0.0000, 0.5000)  0.00
Li (0.2500, 0.3750, 0.6250)  0.00
Li (0.2500, 0.8750, 0.1250)  0.00
Li (0.0000, 0.5000, 0.5000)  0.00
Li (0.8750, 0.2500, 0.6250)  0.00
Li (0.6250, 0.7500, 0.8750)  0.00
Li (0.8750, 0.6250, 0.7500)  0.00
F (0.7141, 0.1269, 0.0339)  0.10
F (0.3198, 0.5339, 0.4071)  0.10
F (0.9661, 0.3731, 0.2859)  0.10
F (0.5339, 0.2141, 0.1269)  0.10
F (0.5872, 0.7141, 0.6802)  0.10
F (0.9661, 0.5929, 0.1802)  0.10
F (0.3198, 0.7859, 0.4128)  0.10
F (0.0929, 0.9128, 0.1269)  0.10
F (0.5929, 0.9661, 0.6802)  0.10
F (0.7141, 0.5872, 0.1802)  0.10
F (0.7859, 0.4661, 0.3731)  0.10
F (0.8198, 0.9071, 0.0339)  0.10
F (0.1269, 0.7141, 0.5339)  0.10
F (0.3731, 0.4071, 0.0872)  0.10
F (0.0872, 0.9071, 0.3731)  0.10
F (0.4128, 0.1269, 0.5929)  0.10
F (0.0872, 0.1802, 0.2141)  0.10
F (0.4661, 0.6802, 0.0929)  0.10
F (0.8198, 0.9128, 0.2859)  0.10
F (0.1269, 0.4128, 0.0929)  0.10
F (0.3731, 0.9661, 0.7859)  0.10
F (0.5929, 0.6269, 0.4128)  0.10
F (0.9071, 0.8198, 0.5339)  0.10
F (0.7859, 0.3198, 0.9128)  0.10
F (0.4071, 0.3731, 0.5872)  0.10
F (0.0929, 0.1802, 0.4661)  0.10
F (0.2141, 0.6802, 0.0872)  0.10
F (0.1802, 0.0872, 0.7141)  0.10
F (0.6269, 0.0339, 0.2141)  0.10
F (0.8731, 0.5872, 0.9071)  0.10
F (0.5339, 0.3198, 0.9071)  0.10
F (0.5872, 0.8731, 0.4071)  0.10
F (0.9128, 0.8198, 0.7859)  0.10
F (0.9128, 0.0929, 0.6269)  0.10
F (0.8731, 0.2859, 0.4661)  0.10
F (0.1802, 0.0929, 0.9661)  0.10
F (0.6269, 0.5929, 0.9128)  0.10
F (0.4071, 0.0339, 0.3198)  0.10
F (0.2859, 0.4128, 0.8198)  0.10
F (0.2141, 0.5339, 0.6269)  0.10
F (0.9071, 0.0872, 0.8731)  0.10
F (0.6802, 0.2141, 0.5872)  0.10
F (0.4661, 0.7859, 0.8731)  0.10
F (0.0339, 0.4071, 0.8198)  0.10
F (0.4128, 0.2859, 0.3198)  0.10
F (0.0339, 0.6269, 0.7141)  0.10
F (0.6802, 0.4661, 0.5929)  0.10
F (0.2859, 0.8731, 0.9661)  0.10

Summary:
The calculation puts the formation energy (no corrections) at -73.82 kcal/mol of atoms. The calculation puts the total energy at -5.103 eV per atom. The value obtained for the spin magnetization is 5.38 μB/cell.